(1)
A geometry-optimized Nd2SnGe4Rh3 structure, computed with PBE-GGA.

abc: 4.315 4.315 10.542
angles: 90.00 90.00 90.00
Sites, in units of the cell vectors:
Rh 0.500 0.000 0.885
Rh 0.000 0.500 0.115
Ge 0.500 0.000 0.657
Nd 0.000 0.500 0.766
Nd 0.500 0.000 0.234
Ge 0.000 0.000 0.000
Ge 0.500 0.500 0.000
Rh 0.000 0.000 0.500
Sn 0.500 0.500 0.500
Ge 0.000 0.500 0.343

Properties
The total DFT energy (no corrections) comes out at -6.1232 eV per atom. The formation enthalpy at 0 K comes out at -717 meV per atom.

(2)
A geometry-optimized Cd2PbBr structure, computed with PBE-GGA.

abc: 3.461 5.341 6.085
angles: 90.00 90.00 90.00
Sites, in units of the cell vectors:
Pb 0.500 0.000 0.500
Br 0.000 0.500 0.500
Cd 0.500 0.500 0.000
Cd 0.000 0.000 0.000

Properties
The total DFT energy (no corrections) comes out at -1.9192 eV per atom. The value obtained for the energy relative to the lowest polymorph listed for this composition is 63 meV per atom. As for the raw formation energy: -0.1163 eV/atom.

(3)
A geometry-optimized La2InGaB structure, computed with PBE-GGA.

abc: 5.982 4.792 5.982
angles: 90.00 90.00 90.00
Sites, in units of the cell vectors:
La 0.000 0.000 0.500
La 0.500 0.000 0.000
B 0.500 0.500 0.500
Ga 0.000 0.500 0.000
In 0.000 0.000 0.000

Properties
The total DFT energy (no corrections) comes out at -3.3893 eV per atom. The formation enthalpy at 0 K comes out at 1070 meV per atom.

(4)
A geometry-optimized LiDy4TmS8 structure, computed with PBE-GGA.

abc: 8.003 8.003 7.972
angles: 59.87 59.87 60.00
Sites, in units of the cell vectors:
Dy 0.005 0.005 0.505
Li 0.375 0.375 0.875
Dy 0.624 0.624 0.127
Tm 0.005 0.005 0.986
S 0.244 0.244 0.269
S 0.770 0.242 0.746
S 0.242 0.770 0.746
Dy 0.005 0.486 0.505
S 0.761 0.223 0.255
S 0.758 0.758 0.725
S 0.761 0.761 0.255
Dy 0.486 0.005 0.505
S 0.223 0.761 0.255
S 0.242 0.242 0.746

Properties
The total DFT energy (no corrections) comes out at -6.1024 eV per atom. As for the raw formation energy: -1.9728 eV/atom.

(5)
A geometry-optimized Nd5Dy4Th4 structure, computed with PBE-GGA.

abc: 5.085 9.557 9.557
angles: 85.94 74.57 74.57
Sites, in units of the cell vectors:
Th 0.614 0.313 0.459
Dy 0.154 0.081 0.611
Th 0.073 0.541 0.313
Dy 0.765 0.389 0.081
Nd 0.462 0.236 0.841
Nd 0.302 0.159 0.236
Dy 0.846 0.919 0.389
Th 0.927 0.459 0.687
Nd 0.698 0.841 0.764
Nd 0.000 0.000 0.000
Dy 0.235 0.611 0.919
Th 0.386 0.687 0.541
Nd 0.538 0.764 0.159

Properties
The total DFT energy (no corrections) comes out at -5.4965 eV per atom. The formation enthalpy at 0 K comes out at 36 meV per atom.

(6)
A geometry-optimized Rh3CBr structure, computed with PBE-GGA.

abc: 4.586 4.586 4.586
angles: 90.00 90.00 90.00
Site moments in Bohr magnetons follow the coordinates.
Sites, in units of the cell vectors:
Br 0.000 0.000 0.000  0.01
Rh 0.500 0.000 0.000  0.35
C 0.500 0.500 0.500  0.10
Rh 0.000 0.500 0.000  0.38
Rh 0.000 0.000 0.500  0.15

Properties
The total DFT energy (no corrections) comes out at -4.2492 eV per atom. The value obtained for the energy relative to the lowest polymorph listed for this composition is 1738 meV per atom. As for the raw formation energy: 2.3410 eV/atom.

(7)
A geometry-optimized PmZn2Ag9 structure, computed with PBE-GGA.

abc: 7.226 8.742 8.742
angles: 80.17 65.59 65.59
Sites, in units of the cell vectors:
Ag 0.677 0.178 0.579
Ag 0.604 0.079 0.322
Ag 0.005 0.921 0.678
Ag 0.317 0.079 0.678
Ag 0.146 0.421 0.178
Ag 0.745 0.822 0.579
Zn 0.875 0.250 0.750
Ag 0.677 0.579 0.178
Ag 0.433 0.421 0.822
Ag 0.745 0.579 0.822
Zn 0.875 0.750 0.250
Pm 0.250 0.500 0.500
Ag 0.073 0.322 0.921
Pm 0.500 0.000 0.000
Ag 0.000 0.000 0.000
Ag 0.433 0.822 0.421
Zn 0.875 0.250 0.250
Ag 0.005 0.678 0.921
Zn 0.375 0.750 0.750
Ag 0.073 0.921 0.322
Ag 0.604 0.322 0.079
Ag 0.146 0.178 0.421
Ag 0.317 0.678 0.079
Ag 0.750 0.500 0.500

Properties
The total DFT energy (no corrections) comes out at -2.8167 eV per atom. The formation enthalpy at 0 K comes out at -70 meV per atom.

(8)
A geometry-optimized Na2Ga4CuGe3 structure, computed with PBE-GGA.

abc: 4.344 4.344 10.836
angles: 90.00 90.00 90.00
Sites, in units of the cell vectors:
Ga 0.500 0.000 0.629
Ge 0.000 0.000 0.500
Ga 0.000 0.000 0.000
Na 0.500 0.000 0.265
Na 0.000 0.500 0.735
Ga 0.500 0.500 0.000
Ge 0.000 0.500 0.137
Cu 0.500 0.500 0.500
Ge 0.500 0.000 0.863
Ga 0.000 0.500 0.371

Properties
The total DFT energy (no corrections) comes out at -3.3363 eV per atom. The formation enthalpy at 0 K comes out at -67 meV per atom.

(9)
A geometry-optimized NiI4 structure, computed with PBE-GGA.

abc: 5.340 5.340 5.340
angles: 90.00 90.00 90.00
Sites, in units of the cell vectors:
I 0.000 0.500 0.500
I 0.500 0.000 0.500
Ni 0.500 0.500 0.500
I 0.500 0.500 0.000
I 0.000 0.000 0.000

Properties
The total DFT energy (no corrections) comes out at -2.1724 eV per atom. The value obtained for the energy relative to the lowest polymorph listed for this composition is 186 meV per atom. As for the raw formation energy: 0.2240 eV/atom.

(10)
A geometry-optimized K2ZrCl structure, computed with PBE-GGA.

abc: 3.524 3.523 10.862
angles: 71.09 90.00 90.00
Site moments in Bohr magnetons follow the coordinates.
Sites, in units of the cell vectors:
K 0.000 0.059 0.941  0.03
Zr 0.500 0.250 0.250  1.33
Cl 0.500 0.750 0.750  0.01
K 0.000 0.441 0.559  0.03

Properties
The total DFT energy (no corrections) comes out at -3.4291 eV per atom. The value obtained for the energy relative to the lowest polymorph listed for this composition is 0 meV per atom. As for the raw formation energy: -0.2816 eV/atom.

(11)
A geometry-optimized ZnAgPt2 structure, computed with PBE-GGA.

abc: 4.946 4.946 4.826
angles: 74.83 74.83 33.59
Sites, in units of the cell vectors:
Pt 0.013 0.013 0.990
Zn 0.750 0.750 0.750
Ag 0.250 0.250 0.250
Pt 0.487 0.487 0.510

Properties
The total DFT energy (no corrections) comes out at -4.2810 eV per atom. The formation enthalpy at 0 K comes out at -229 meV per atom.

(12)
A geometry-optimized PaTl2I6 structure, computed with PBE-GGA.

abc: 8.770 8.187 11.804
angles: 94.72 90.00 90.00
Site moments in Bohr magnetons follow the coordinates.
Sites, in units of the cell vectors:
I 0.707 0.831 0.562  -0.02
Tl 0.602 0.041 0.223  0.00
I 0.314 0.198 0.051  -0.02
I 0.814 0.302 0.449  -0.02
I 0.686 0.802 0.949  -0.02
Tl 0.102 0.459 0.277  0.00
Tl 0.898 0.541 0.723  0.00
I 0.966 0.864 0.254  -0.02
I 0.793 0.331 0.062  -0.02
I 0.034 0.136 0.746  -0.02
Pa 0.000 0.000 0.500  1.08
I 0.207 0.669 0.938  -0.02
Pa 0.500 0.500 0.000  1.08
I 0.466 0.636 0.246  -0.02
I 0.186 0.698 0.551  -0.02
Tl 0.398 0.959 0.777  0.00
I 0.534 0.364 0.754  -0.02
I 0.293 0.169 0.438  -0.02

Properties
The total DFT energy (no corrections) comes out at -3.4686 eV per atom. The value obtained for the energy relative to the lowest polymorph listed for this composition is 0 meV per atom. As for the raw formation energy: -0.8542 eV/atom.